Record 1
{"formula": "In2HgGePb", "functional": "PBE", "state": "relaxed", "lattice_angstrom": [[-5.631, -1.236, 0.733], [-0.394, -1.453, -5.474], [1.380, -5.480, 1.355]], "species": ["Hg", "Pb", "In", "In", "Ge"], "fractional_positions": [[0.000, 0.500, 0.000], [0.000, 0.000, 0.000], [0.000, 0.000, 0.500], [0.500, 0.000, 0.000], [0.500, 0.500, 0.500]], "e_form_ev_per_atom": 0.763, "dos_ef_per_ev_cell": 4.98, "mass_density_g_cm3": 6.149}



Record 2
{"formula": "La2YHRh", "functional": "PBE", "state": "relaxed", "lattice_angstrom": [[4.733, 0.000, 0.000], [0.000, 5.051, 0.000], [0.000, 0.000, 4.733]], "species": ["La", "La", "H", "Rh", "Y"], "fractional_positions": [[0.500, 0.000, 0.000], [0.000, 0.000, 0.500], [0.000, 0.000, 0.000], [0.500, 0.500, 0.500], [0.000, 0.500, 0.000]], "dos_ef_per_ev_cell": 5.58, "e_tot_ev_per_atom": -5.574, "mass_density_g_cm3": 6.908}



Record 3
{"formula": "BaSn5I12", "functional": "PBE", "state": "relaxed", "lattice_angstrom": [[-2.756, -6.347, 4.163], [4.884, -6.276, 1.496], [4.546, 6.680, 13.223]], "species": ["Ba", "I", "I", "I", "I", "I", "I", "I", "I", "I", "I", "I", "I", "Sn", "Sn", "Sn", "Sn", "Sn"], "fractional_positions": [[0.000, 0.000, 0.000], [0.834, 0.000, 0.384], [0.000, 0.357, 0.878], [0.357, 0.643, 0.878], [0.643, 0.357, 0.122], [0.501, 0.667, 0.384], [0.358, 0.000, 0.122], [0.642, 0.000, 0.878], [0.167, 0.333, 0.384], [0.000, 0.643, 0.122], [0.499, 0.333, 0.616], [0.833, 0.667, 0.616], [0.166, 0.000, 0.616], [0.667, 0.667, 0.000], [0.833, 0.333, 0.500], [0.167, 0.667, 0.500], [0.500, 0.000, 0.500], [0.333, 0.333, 0.000]], "dos_ef_per_ev_cell": 0.00, "raw_formation_energy_mev_per_atom": -713, "mass_density_g_cm3": 4.264}



Record 4
{"formula": "NiOsC3", "functional": "PBE", "state": "relaxed", "lattice_angstrom": [[-0.656, -2.824, -2.265], [0.684, -2.357, 2.741], [-3.555, 0.068, 0.946]], "species": ["Ni", "Os", "C", "C", "C"], "fractional_positions": [[0.000, 0.000, 0.000], [0.500, 0.500, 0.500], [0.000, 0.500, 0.000], [0.500, 0.000, 0.000], [0.000, 0.000, 0.500]], "e_form_ev_per_atom": 2.583, "dos_ef_per_ev_cell": 3.44, "mass_density_g_cm3": 9.501}



Record 5
{"formula": "PrGaPt3", "functional": "PBE", "state": "relaxed", "lattice_angstrom": [[-2.721, 2.138, 2.323], [-4.035, -7.198, 1.898], [6.342, -1.285, 8.611]], "species": ["Ga", "Ga", "Ga", "Ga", "Pr", "Pr", "Pr", "Pr", "Pt", "Pt", "Pt", "Pt", "Pt", "Pt", "Pt", "Pt", "Pt", "Pt", "Pt", "Pt"], "fractional_positions": [[0.750, 0.891, 0.361], [0.750, 0.391, 0.139], [0.250, 0.109, 0.639], [0.250, 0.609, 0.861], [0.750, 0.318, 0.491], [0.750, 0.818, 0.009], [0.250, 0.682, 0.509], [0.250, 0.182, 0.991], [0.250, 0.569, 0.090], [0.750, 0.109, 0.207], [0.250, 0.391, 0.707], [0.750, 0.931, 0.590], [0.250, 0.891, 0.793], [0.250, 0.854, 0.214], [0.750, 0.431, 0.910], [0.250, 0.354, 0.286], [0.750, 0.609, 0.293], [0.750, 0.646, 0.714], [0.750, 0.146, 0.786], [0.250, 0.069, 0.410]], "e_form_ev_per_atom": -0.827, "dos_ef_per_ev_cell": 7.67, "mass_density_g_cm3": 13.908}



Record 6
{"formula": "ThPd5Pt2", "functional": "PBE", "state": "relaxed", "lattice_angstrom": [[0.480, -5.753, 1.553], [-1.506, 0.294, -3.750], [12.182, -9.691, -3.447]], "species": ["Pd", "Pd", "Pd", "Pd", "Pd", "Pd", "Pd", "Pd", "Pd", "Pd", "Pt", "Pt", "Pt", "Pt", "Th", "Th"], "fractional_positions": [[0.370, 0.726, 0.081], [0.469, 0.942, 0.415], [0.726, 0.487, 0.250], [0.274, 0.513, 0.750], [0.871, 0.724, 0.576], [0.129, 0.276, 0.424], [0.010, 0.049, 0.088], [0.630, 0.274, 0.919], [0.990, 0.951, 0.912], [0.531, 0.058, 0.585], [0.294, 0.609, 0.923], [0.802, 0.608, 0.415], [0.706, 0.391, 0.077], [0.198, 0.392, 0.585], [0.123, 0.186, 0.250], [0.877, 0.814, 0.750]], "e_form_ev_per_atom": -0.423, "dos_ef_per_ev_cell": 11.76, "mass_density_g_cm3": 13.135}



Record 7
{"formula": "PmTh14Sc", "functional": "PBE", "state": "relaxed", "lattice_angstrom": [[-4.685, 1.979, 5.031], [4.717, -5.205, 1.353], [7.519, 7.833, 3.921]], "species": ["Th", "Th", "Th", "Th", "Th", "Th", "Th", "Th", "Th", "Th", "Th", "Th", "Th", "Th", "Pm", "Sc"], "fractional_positions": [[0.042, 0.453, 0.500], [0.376, 0.624, 0.252], [0.209, 0.293, 0.000], [0.377, 0.127, 0.252], [0.875, 0.125, 0.752], [0.208, 0.792, 0.000], [0.547, 0.958, 0.500], [0.707, 0.791, 0.000], [0.873, 0.623, 0.748], [0.376, 0.624, 0.748], [0.873, 0.623, 0.252], [0.377, 0.127, 0.748], [0.875, 0.125, 0.248], [0.707, 0.293, 0.000], [0.040, 0.960, 0.500], [0.540, 0.460, 0.500]], "e_form_ev_per_atom": 0.040, "dos_ef_per_ev_cell": 20.75, "mass_density_g_cm3": 11.160}



Record 8
{"formula": "CdInNi2", "functional": "PBE", "state": "relaxed", "lattice_angstrom": [[-0.345, -6.357, 2.912], [6.451, -1.414, -2.323], [4.135, -2.855, 2.672]], "species": ["Cd", "Cd", "In", "In", "Ni", "Ni", "Ni", "Ni"], "fractional_positions": [[0.500, 0.500, 0.000], [0.250, 0.750, 0.500], [0.000, 0.000, 0.000], [0.750, 0.250, 0.500], [0.121, 0.625, 0.250], [0.875, 0.879, 0.750], [0.375, 0.371, 0.750], [0.629, 0.125, 0.250]], "e_form_ev_per_atom": 0.306, "dos_ef_per_ev_cell": 3.50, "mass_density_g_cm3": 8.318}



Record 9
{"formula": "Pr2BiSb", "functional": "PBE", "state": "relaxed", "lattice_angstrom": [[4.599, 0.000, 0.000], [2.300, 3.983, 0.000], [2.300, 1.328, 7.510]], "species": ["Pr", "Pr", "Bi", "Sb"], "fractional_positions": [[0.748, 0.748, 0.756], [0.252, 0.252, 0.244], [0.500, 0.500, 0.500], [0.000, 0.000, 0.000]], "dos_ef_per_ev_cell": 0.68, "raw_formation_energy_mev_per_atom": -1076, "mass_density_g_cm3": 7.393}



Record 10
{"formula": "MgTeO3", "functional": "PBE", "state": "relaxed", "lattice_angstrom": [[-1.001, -3.418, 2.111], [2.710, -2.180, -2.246], [2.966, 0.839, 2.765]], "species": ["Te", "O", "O", "O", "Mg"], "fractional_positions": [[0.000, 0.000, 0.000], [0.000, 0.000, 0.500], [0.500, 0.000, 0.000], [0.000, 0.500, 0.000], [0.500, 0.500, 0.500]], "dos_ef_per_ev_cell": 0.91, "raw_formation_energy_mev_per_atom": -919, "mass_density_g_cm3": 4.677}



Record 11
{"formula": "BaZrAl", "functional": "PBE", "state": "relaxed", "lattice_angstrom": [[-2.037, 2.187, 4.326], [-2.290, -4.222, -2.140], [2.032, -2.135, 2.037]], "species": ["Zr", "Al", "Ba"], "fractional_positions": [[0.333, 0.667, 0.791], [0.000, 0.000, 0.873], [0.667, 0.333, 0.337]], "e_form_ev_per_atom": 0.368, "dos_ef_per_ev_cell": 3.43, "mass_density_g_cm3": 4.947}



Record 12
{"formula": "Tb5Ga2Se2", "functional": "PBE", "state": "relaxed", "lattice_angstrom": [[-6.336, -1.293, 4.156], [4.364, -1.406, 6.215], [-3.443, 6.556, 3.900]], "species": ["Tb", "Tb", "Tb", "Tb", "Tb", "Tb", "Tb", "Tb", "Tb", "Tb", "Ga", "Ga", "Ga", "Ga", "Se", "Se", "Se", "Se"], "fractional_positions": [[0.031, 0.664, 0.277], [0.308, 0.664, 0.723], [0.531, 0.836, 0.277], [0.969, 0.336, 0.723], [0.000, 0.000, 0.000], [0.692, 0.336, 0.277], [0.192, 0.164, 0.277], [0.808, 0.836, 0.723], [0.469, 0.164, 0.723], [0.500, 0.500, 0.000], [0.375, 0.878, 0.000], [0.875, 0.622, 0.000], [0.125, 0.378, 0.000], [0.625, 0.122, 0.000], [0.699, 0.500, 0.603], [0.801, 0.000, 0.397], [0.301, 0.500, 0.397], [0.199, 0.000, 0.603]], "dos_ef_per_ev_cell": 18.63, "raw_formation_energy_mev_per_atom": -1062, "mass_density_g_cm3": 8.216}



Record 13
{"formula": "PaCuAgPb", "functional": "PBE", "state": "relaxed", "lattice_angstrom": [[4.951, 0.000, 0.000], [2.476, 4.288, 0.000], [2.476, 1.429, 4.043]], "species": ["Ag", "Pa", "Pb", "Cu"], "fractional_positions": [[0.750, 0.750, 0.750], [0.500, 0.500, 0.500], [0.000, 0.000, 0.000], [0.250, 0.250, 0.250]], "e_form_ev_per_atom": 0.149, "dos_ef_per_ev_cell": 4.94, "mass_density_g_cm3": 11.794}



Record 14
{"formula": "CoReN2", "functional": "PBE", "state": "relaxed", "lattice_angstrom": [[0.000, 2.600, 2.600], [2.600, 0.000, 2.600], [2.600, 2.600, 0.000]], "species": ["N", "N", "Re", "Co"], "fractional_positions": [[0.250, 0.250, 0.250], [0.750, 0.750, 0.750], [0.500, 0.500, 0.500], [0.000, 0.000, 0.000]], "dos_ef_per_ev_cell": 3.85, "raw_formation_energy_mev_per_atom": 873, "mass_density_g_cm3": 12.908}



Record 15
{"formula": "HRuF6", "functional": "PBE", "state": "relaxed", "lattice_angstrom": [[4.922, -0.171, 1.269], [2.257, 4.409, 1.029], [3.506, 1.786, 5.811]], "species": ["Ru", "F", "F", "F", "F", "F", "F", "H"], "fractional_positions": [[0.000, 0.000, 0.000], [0.560, 0.199, 0.213], [0.440, 0.801, 0.787], [0.781, 0.561, 0.279], [0.872, 0.102, 0.766], [0.219, 0.439, 0.721], [0.128, 0.898, 0.234], [0.500, 0.500, 0.500]], "e_tot_ev_per_atom": -4.605, "mass_density_g_cm3": 3.444}



Record 16
{"formula": "BaNa2IO4", "functional": "PBE", "state": "relaxed", "lattice_angstrom": [[-1.216, 5.045, 2.250], [-2.041, -0.699, -5.229], [-2.394, -4.335, 2.734]], "species": ["O", "O", "O", "O", "Na", "Na", "Ba", "I"], "fractional_positions": [[0.466, 0.738, 0.798], [0.060, 0.728, 0.262], [0.534, 0.332, 0.272], [0.940, 0.202, 0.668], [0.500, 0.750, 0.250], [0.000, 0.000, 0.000], [0.500, 0.250, 0.750], [0.000, 0.500, 0.500]], "dos_ef_per_ev_cell": 1.55, "raw_formation_energy_mev_per_atom": -1332, "mass_density_g_cm3": 4.525}



Record 17
{"formula": "Cs4Pr3SmTe8", "functional": "PBE", "state": "relaxed", "lattice_angstrom": [[-2.752, 8.944, -0.594], [-9.872, -3.135, -1.476], [4.276, -3.084, 7.755]], "species": ["Te", "Te", "Te", "Te", "Te", "Te", "Te", "Te", "Sm", "Cs", "Cs", "Cs", "Cs", "Pr", "Pr", "Pr"], "fractional_positions": [[0.732, 0.697, 0.465], [0.230, 0.695, 0.965], [0.736, 0.695, 0.965], [0.770, 0.305, 0.541], [0.770, 0.305, 0.035], [0.268, 0.303, 0.535], [0.230, 0.695, 0.459], [0.264, 0.305, 0.035], [0.000, 0.500, 0.000], [0.000, 0.000, 0.500], [0.000, 0.000, 0.000], [0.500, 0.000, 0.000], [0.500, 0.000, 0.500], [0.000, 0.500, 0.500], [0.500, 0.500, 0.000], [0.500, 0.500, 0.500]], "raw_formation_energy_mev_per_atom": -1415, "mass_density_g_cm3": 5.178}



Record 18
{"formula": "BeTlIr", "functional": "PBE", "state": "relaxed", "lattice_angstrom": [[3.017, 0.000, 0.000], [-1.509, 2.613, 0.000], [0.000, 0.000, 6.401]], "species": ["Be", "Ir", "Tl"], "fractional_positions": [[0.000, 0.000, 0.052], [0.667, 0.333, 0.277], [0.333, 0.667, 0.670]], "e_form_ev_per_atom": 0.347, "dos_ef_per_ev_cell": 1.59, "mass_density_g_cm3": 13.348}



Record 19
{"formula": "NdY12Sc7", "functional": "PBE", "state": "relaxed", "lattice_angstrom": [[9.106, -0.177, -0.266], [-2.703, 8.698, -0.266], [-2.703, -3.596, 7.924]], "species": ["Sc", "Sc", "Sc", "Sc", "Sc", "Sc", "Sc", "Y", "Y", "Y", "Y", "Y", "Y", "Y", "Y", "Y", "Y", "Y", "Y", "Nd"], "fractional_positions": [[0.111, 0.385, 0.244], [0.500, 0.500, 0.500], [0.244, 0.111, 0.385], [0.756, 0.889, 0.615], [0.615, 0.756, 0.889], [0.889, 0.615, 0.756], [0.385, 0.244, 0.111], [0.652, 0.132, 0.931], [0.804, 0.467, 0.362], [0.467, 0.362, 0.804], [0.868, 0.069, 0.348], [0.348, 0.868, 0.069], [0.638, 0.196, 0.533], [0.931, 0.652, 0.132], [0.533, 0.638, 0.196], [0.196, 0.533, 0.638], [0.362, 0.804, 0.467], [0.132, 0.931, 0.652], [0.069, 0.348, 0.868], [0.000, 0.000, 0.000]], "e_form_ev_per_atom": 0.165, "dos_ef_per_ev_cell": 38.53, "mass_density_g_cm3": 4.180}



Record 20
{"formula": "SrZrScN3", "functional": "PBE", "state": "relaxed", "lattice_angstrom": [[-2.096, 1.991, -1.873], [-4.185, -3.987, 0.445], [-1.524, 4.962, 6.980]], "species": ["Sc", "Sc", "Zr", "Zr", "N", "N", "N", "N", "N", "N", "Sr", "Sr"], "fractional_positions": [[0.750, 0.871, 0.360], [0.250, 0.129, 0.640], [0.250, 0.760, 0.039], [0.750, 0.240, 0.961], [0.250, 0.970, 0.857], [0.750, 0.564, 0.141], [0.250, 0.436, 0.859], [0.750, 0.030, 0.143], [0.250, 0.783, 0.474], [0.750, 0.217, 0.526], [0.250, 0.351, 0.311], [0.750, 0.649, 0.689]], "dos_ef_per_ev_cell": 0.05, "raw_formation_energy_mev_per_atom": -1398, "mass_density_g_cm3": 5.191}